Material: Ca3Ir
Method: DFT, SCAN
State: single point on PBEsol structure

Cell and atoms, written as extended XYZ:
```
8
Lattice="3.4010 0.0000 0.0000 0.0000 5.0087 0.0000 0.0000 0.0000 13.9802" Properties=species:S:1:pos:R:3 pbc="T T T"
Ca 0.0000 0.0000 0.0000
Ca 0.0000 2.5044 2.2732
Ca 0.0000 2.5044 11.7070
Ca 1.7005 0.0000 4.7169
Ca 1.7005 0.0000 9.2633
Ca 1.7005 2.5044 6.9901
Ir 0.0000 0.0000 6.9901
Ir 1.7005 2.5044 0.0000
```

Total energy, eV/atom: -25.23
Energy of formation, eV per atom: -0.2065
Calculated volume, Å³/cell: 238.1
ρ, kg/m³: 4357
Space group: Immm, No. 71